Er5InBi2 (GGA-PBE, relaxed); magnetic moment = 0.001 μB per formula unit; volume = 483.04 Å³ per cell; electronic total energy = -70.7 eV for the cell shown
1.0
2.812 -5.787 0.000
2.812 5.787 0.000
0.000 0.000 14.841
Er In Bi
10 2 4
direct
0.064 0.936 0.750
0.120 0.880 0.051
0.120 0.880 0.449
0.426 0.574 0.096
0.426 0.574 0.404
0.574 0.426 0.596
0.574 0.426 0.904
0.880 0.120 0.551
0.880 0.120 0.949
0.936 0.064 0.250
0.223 0.777 0.250
0.777 0.223 0.750
0.290 0.710 0.618
0.290 0.710 0.882
0.710 0.290 0.118
0.710 0.290 0.382